Compound: HPbI
Source: Alexandria
Functional: PBE-GGA
Structure: optimized geometry

a = 4.372 Å, b = 6.511 Å, c = 6.513 Å
α = 90.82°, β = 106.72°, γ = 106.69°
Space group P-1 (No. 2)
Symmetry-distinct sites (fractional):
H  0.183  0.173  0.171 (multiplicity 2)
Pb  0.332  0.733  0.734 (multiplicity 2)
I  0.499  0.260  0.739 (multiplicity 2)

Properties
Relative energy among the computed polymorphs in meV/atom: 91

Compound: HPb2I
Source: Alexandria
Functional: PBE-GGA
Structure: optimized geometry

a = 7.659 Å, b = 7.659 Å, c = 7.659 Å
α = 90.00°, β = 90.00°, γ = 90.00°
Space group Fm-3m (No. 225)
Symmetry-distinct sites (fractional):
H  0.000  0.000  0.000 (multiplicity 4)
Pb  0.250  0.250  0.250 (multiplicity 8)
I  0.000  0.000  0.500 (multiplicity 4)

Properties
Relative energy among the computed polymorphs in meV/atom: 301
D(E_F) in states/eV/f.u.: 3.02

Compound: Rb2HPbI6
Source: Alexandria
Functional: PBE-GGA
Structure: optimized geometry

a = 7.890 Å, b = 7.890 Å, c = 13.689 Å
α = 90.00°, β = 90.00°, γ = 90.00°
Space group I4/mmm (No. 139)
Symmetry-distinct sites (fractional):
Rb  0.000  0.500  0.250 (multiplicity 4)
H  0.000  0.000  0.000 (multiplicity 2)
Pb  0.000  0.000  0.500 (multiplicity 2)
I  0.000  0.000  0.268 (multiplicity 4)
I  0.224  0.224  0.000 (multiplicity 8)

Properties
Calculated total energy in eV per atom: -2.37
D(E_F) in states/eV/f.u.: 8.74

Compound: HPbSI
Source: Alexandria
Functional: PBE-GGA
Structure: optimized geometry

a = 8.138 Å, b = 4.706 Å, c = 7.277 Å
α = 90.00°, β = 111.98°, γ = 90.00°
Space group Cm (No. 8)
Symmetry-distinct sites (fractional):
H  0.000  0.000  0.000 (multiplicity 2)
Pb  0.293  0.500  0.375 (multiplicity 2)
S  0.068  0.000  0.200 (multiplicity 2)
I  0.057  0.500  0.667 (multiplicity 2)

Properties
Calculated total energy in eV per atom: -3.60
D(E_F) in states/eV/f.u.: 0.00

Compound: Sb2HPbI
Source: Alexandria
Functional: PBE-GGA
Structure: optimized geometry

a = 5.994 Å, b = 5.994 Å, c = 6.386 Å
α = 90.00°, β = 90.00°, γ = 90.00°
Space group P4/mmm (No. 123)
Symmetry-distinct sites (fractional):
Sb  0.000  0.500  0.000 (multiplicity 2)
H  0.000  0.000  0.500 (multiplicity 1)
Pb  0.500  0.500  0.000 (multiplicity 1)
I  0.500  0.500  0.500 (multiplicity 1)

Properties
Relative energy among the computed polymorphs in meV/atom: 713
D(E_F) in states/eV/f.u.: 4.52

Compound: SbHPbI2
Source: Alexandria
Functional: PBE-GGA
Structure: optimized geometry

a = 6.330 Å, b = 6.330 Å, c = 6.183 Å
α = 90.00°, β = 90.00°, γ = 90.00°
Space group P4/mmm (No. 123)
Symmetry-distinct sites (fractional):
Sb  0.000  0.000  0.000 (multiplicity 1)
H  0.500  0.500  0.000 (multiplicity 1)
Pb  0.000  0.000  0.500 (multiplicity 1)
I  0.000  0.500  0.500 (multiplicity 2)

Properties
Relative energy among the computed polymorphs in meV/atom: 416
D(E_F) in states/eV/f.u.: 3.38

Compound: SbHPbI2
Source: Alexandria
Functional: PBE-GGA
Structure: optimized geometry

a = 5.839 Å, b = 5.839 Å, c = 4.003 Å
α = 90.00°, β = 90.00°, γ = 90.00°
Space group P4/mmm (No. 123)
Symmetry-distinct sites (fractional):
Sb  0.000  0.000  0.000 (multiplicity 1)
H  0.000  0.000  0.500 (multiplicity 1)
Pb  0.500  0.500  0.000 (multiplicity 1)
I  0.000  0.500  0.500 (multiplicity 2)

Properties
Relative energy among the computed polymorphs in meV/atom: 0
D(E_F) in states/eV/f.u.: 1.69

Compound: Sb2HPbI
Source: Alexandria
Functional: PBE-GGA
Structure: optimized geometry

a = 4.578 Å, b = 4.578 Å, c = 6.370 Å
α = 90.00°, β = 90.00°, γ = 90.00°
Space group P4/mmm (No. 123)
Symmetry-distinct sites (fractional):
Sb  0.000  0.500  0.000 (multiplicity 2)
H  0.000  0.000  0.000 (multiplicity 1)
Pb  0.500  0.500  0.500 (multiplicity 1)
I  0.000  0.000  0.500 (multiplicity 1)

Properties
Relative energy among the computed polymorphs in meV/atom: 0
D(E_F) in states/eV/f.u.: 3.17